! LiCo2O3 | Alexandria | GGA+U | optimized geometry; values from VASP
! Final energy (eV/atom): -5.701
! N(E_F) (states/eV per cell): 1.677
&SYSTEM
  ibrav = 0, nat = 6, ntyp = 3
/
ATOMIC_SPECIES
Co 58.93 Co.upf
O 16.00 O.upf
Li 6.94 Li.upf
CELL_PARAMETERS angstrom
5.1344 0.0082 -0.0022
2.5948 4.4305 0.0022
-3.4380 -2.9622 2.4016
ATOMIC_POSITIONS crystal
Co 0.3356 0.3356 0.0000
Co 0.6644 0.6644 0.0000
O 0.8197 0.3197 0.5000
O 0.1803 0.6803 0.5000
O 0.5000 0.0000 0.5000
Li 0.0000 0.0000 0.0000